# FeTc2As PBE optimized geometry
# Energy of formation: 0.26 eV per formula unit
# DFT total energy: -8.397 eV per atom
# D(E_F): 4.08 states/eV/f.u.
data_FeTc2As
_chemical_formula_sum 'Fe2 Tc4 As2'
_symmetry_space_group_name_H-M 'A m m 2'
_symmetry_Int_Tables_number 38
_symmetry_space_group_name_Hall 'A 2 -2'
_cell_length_a 3.968
_cell_length_b 2.803
_cell_length_c 9.732
_cell_angle_alpha 90.00
_cell_angle_beta 90.00
_cell_angle_gamma 90.00
loop_
_atom_site_label
_atom_site_type_symbol
_atom_site_fract_x
_atom_site_fract_y
_atom_site_fract_z
Fe1 Fe 0.000 0.000 0.000
Tc1 Tc 0.000 0.000 0.258
Tc2 Tc 0.500 0.000 0.619
As1 As 0.500 0.000 0.877